1.
A relaxed structure of YScMnSi2, computed with PBE.

Lattice parameters (Å, degrees): 4.935 4.935 4.507 90.00 90.00 90.00
Space group P4/mmm (No. 123)
Inequivalent atoms, fractional coordinates:
Y 0.000 0.000 0.000 x1
Sc 0.500 0.500 0.500 x1
Mn 0.500 0.500 0.000 x1
Si 0.000 0.500 0.500 x2

Calculated values
- total DFT energy (no corrections) (eV/cell) = -30.7
- formation energy without anion corrections (meV per atom) = 427.5



2.
A relaxed structure of SmScMn, computed with PBE.

Lattice parameters (Å, degrees): 6.406 12.147 7.340 90.00 90.00 90.00
Space group Cmce (No. 64)
Inequivalent atoms, fractional coordinates:
Sm 0.000 0.194 0.106 x8
Sc 0.250 0.044 0.750 x8
Mn 0.000 0.093 0.454 x8

Calculated values
- ΔE_f (eV/atom) = 0.145
- total DFT energy (no corrections) (eV/cell) = -158.3



3.
A relaxed structure of SmScMn17, computed with PBE.

Lattice parameters (Å, degrees): 8.4994 8.4994 11.8875 90.00 90.00 120.00
Space group R3m (No. 160, hexagonal axes)
Inequivalent atoms, fractional coordinates:
Sm 0.0000 0.0000 0.0000 x3
Sc 0.0000 0.0000 0.3084 x3
Mn 0.0000 0.0000 0.5504 x3
Mn 0.0000 0.0000 0.7509 x3
Mn 0.0020 0.5010 0.1500 x9
Mn 0.0619 0.3942 0.3181 x18
Mn 0.1674 0.3348 0.8415 x9
Mn 0.1690 0.3379 0.1301 x9

Calculated values
- ΔE_f (eV/atom) = 0.031
- total DFT energy (no corrections) (eV/cell) = -499.0



4.
A relaxed structure of SmSc2Mn, computed with PBE.

Lattice parameters (Å, degrees): 3.234 3.234 8.621 90.00 90.00 90.00
Space group P4/mmm (No. 123)
Inequivalent atoms, fractional coordinates:
Sm 0.000 0.000 0.000 x1
Sc 0.500 0.500 0.319 x2
Mn 0.000 0.000 0.500 x1

Calculated values
- ΔE_f (eV/atom) = 0.079
- total DFT energy (no corrections) (eV/cell) = -26.2



5.
A relaxed structure of SmScMnZn, computed with PBE.

Lattice parameters (Å, degrees): 6.953 6.953 6.953 90.00 90.00 90.00
Space group F-43m (No. 216)
Inequivalent atoms, fractional coordinates:
Sm 0.000 0.000 0.000 x4
Sc 0.000 0.000 0.500 x4
Mn 0.250 0.250 0.250 x4
Zn 0.250 0.250 0.750 x4

Calculated values
- ΔE_f (eV/atom) = -0.028
- total DFT energy (no corrections) (eV/cell) = -86.4



6.
A relaxed structure of ScMnSn2, computed with PBE.

Lattice parameters (Å, degrees): 4.444 4.444 4.194 90.00 90.00 90.00
Space group P4/mmm (No. 123)
Inequivalent atoms, fractional coordinates:
Sc 0.000 0.000 0.000 x1
Mn 0.500 0.500 0.000 x1
Sn 0.000 0.500 0.500 x2

Calculated values
- ΔE_f (eV/atom) = -0.199
- total DFT energy (no corrections) (eV/cell) = -24.3



7.
A relaxed structure of Sc12Mn3Sn5, computed with PBE.

Lattice parameters (Å, degrees): 16.476 16.476 16.476 90.00 90.00 90.00
Space group Ia-3d (No. 230)
Inequivalent atoms, fractional coordinates:
Sc 0.017 0.086 0.649 x96
Mn 0.000 0.250 0.125 x24
Sn 0.000 0.000 0.000 x16
Sn 0.000 0.250 0.375 x24

Calculated values
- ΔE_f (eV/atom) = 0.355
- total DFT energy (no corrections) (eV/cell) = -931.3



8.
A relaxed structure of Sc2MnSn2, computed with PBE.

Lattice parameters (Å, degrees): 6.968 6.968 4.280 90.00 90.00 90.00
Space group P4/mbm (No. 127)
Inequivalent atoms, fractional coordinates:
Sc 0.167 0.333 0.000 x4
Mn 0.000 0.000 0.500 x2
Sn 0.145 0.645 0.500 x4

Calculated values
- ΔE_f (eV/atom) = -0.213
- total DFT energy (no corrections) (eV/cell) = -61.8



9.
A relaxed structure of ScMn2Sn, computed with PBE.

Lattice parameters (Å, degrees): 7.455 7.455 5.687 90.00 90.00 90.00
Space group I-42d (No. 122)
Inequivalent atoms, fractional coordinates:
Sc 0.000 0.000 0.000 x4
Mn 0.240 0.250 0.625 x8
Sn 0.000 0.000 0.500 x4

Calculated values
- ΔE_f (eV/atom) = 0.403
- total DFT energy (no corrections) (eV/cell) = -108.2



10.
A relaxed structure of ScMnSn2, computed with PBE.

Lattice parameters (Å, degrees): 4.158 4.158 19.934 90.00 90.00 90.00
Space group I-42d (No. 122)
Inequivalent atoms, fractional coordinates:
Sc 0.000 0.000 0.000 x4
Mn 0.000 0.000 0.500 x4
Sn 0.241 0.250 0.625 x8

Calculated values
- ΔE_f (eV/atom) = 0.207
- total DFT energy (no corrections) (eV/cell) = -90.7



11.
A relaxed structure of ScMnSn2, computed with PBE.

Lattice parameters (Å, degrees): 6.704 6.704 6.704 90.00 90.00 90.00
Space group Fm-3m (No. 225)
Inequivalent atoms, fractional coordinates:
Sc 0.000 0.000 0.000 x4
Mn 0.000 0.000 0.500 x4
Sn 0.250 0.250 0.250 x8

Calculated values
- ΔE_f (eV/atom) = 0.041
- total DFT energy (no corrections) (eV/cell) = -93.4



12.
A relaxed structure of ScMnSn2, computed with PBE.

Lattice parameters (Å, degrees): 4.4446 4.4446 15.0078 90.00 90.00 120.00
Space group R-3m (No. 166, hexagonal axes)
Inequivalent atoms, fractional coordinates:
Sc 0.0000 0.0000 0.0000 x3
Mn 0.0000 0.0000 0.5000 x3
Sn 0.0000 0.0000 0.2349 x6

Calculated values
- ΔE_f (eV/atom) = -0.175
- total DFT energy (no corrections) (eV/cell) = -72.6



no.,V (Å³ per atom)
1,21.95
2,23.80
3,13.05
4,22.54
5,21.01
6,20.71
7,27.95
8,20.78
9,19.76
10,21.54
11,18.83
12,21.40